Record 1
This record from Alexandria describes crystalline HoPuPdRu at its relaxed geometry. The functional is PBE.

Structure (POSCAR):
```
HoPuPdRu
1.0
0.000 3.440 3.440
3.440 0.000 3.440
3.440 3.440 0.000
Ho Pu Pd Ru
1 1 1 1
Direct
0.000 0.000 0.000
0.500 0.500 0.500
0.750 0.750 0.750
0.250 0.250 0.250
```

Properties
Uncorrected energy (eV per atom): -8.760
Magnetization (μB per cell): 4.7
Formation energy (meV per atom): -415.5
Fermi-level density of states (states/eV/atom): 2.37
Crystal system: cubic

---

Record 2
This record from Alexandria describes crystalline HoPuSbPd at its relaxed geometry. The functional is PBE.

Structure (POSCAR):
```
HoPuSbPd
1.0
0.000 3.654 3.654
3.654 0.000 3.654
3.654 3.654 0.000
Ho Pu Sb Pd
1 1 1 1
Direct
0.000 0.000 0.000
0.500 0.500 0.500
0.750 0.750 0.750
0.250 0.250 0.250
```

Properties
Uncorrected energy (eV per atom): -7.676
Magnetization (μB per cell): 6.2
Fermi-level density of states (states/eV/atom): 2.75
ΔE_f (raw) (eV per atom): -0.620
Crystal system: cubic